PrAgNO: optimized geometry, PBE.

a b c (Å): 3.942 3.942 8.061
angles (deg): 90.00 90.00 90.00
Positions (direct):
Ag 0.750 0.250 0.500
N 0.750 0.750 0.334
O 0.250 0.750 0.000
Pr 0.250 0.250 0.155
O 0.750 0.250 0.000
Ag 0.250 0.750 0.500
N 0.250 0.250 0.665
Pr 0.750 0.750 0.845

Properties
Volume ... 15.65 A^3/atom
Relative energy among the computed polymorphs ... 0.121 eV per atom


CuReSiIr: optimized geometry, PBE.

a b c (Å): 4.266 4.266 4.266
angles (deg): 60.00 60.00 60.00
Positions (direct):
Ir 0.500 0.500 0.500
Si 0.000 0.000 0.000
Cu 0.750 0.750 0.750
Re 0.250 0.250 0.250

Properties
Volume ... 13.73 A^3/atom
Relative energy among the computed polymorphs ... 0.000 eV per atom


BaNi2SbAs: optimized geometry, PBE.

a b c (Å): 6.614 6.614 6.614
angles (deg): 141.93 141.93 54.94
Positions (direct):
Ba 0.007 0.007 0.000
Ni 0.241 0.741 0.500
As 0.656 0.656 0.000
Ni 0.741 0.241 0.500
Sb 0.354 0.354 0.000

Properties
Volume ... 21.85 A^3/atom
Relative energy among the computed polymorphs ... 0.000 eV per atom


AcGdTm: optimized geometry, PBE.

a b c (Å): 5.619 5.619 5.619
angles (deg): 60.00 60.00 60.00
Positions (direct):
Tm 0.000 0.000 0.000
Gd 0.750 0.750 0.750
Ac 0.250 0.250 0.250

Properties
Calculated formation energy ... 670 meV per atom
Volume ... 41.81 A^3/atom


NdUTe6: optimized geometry, PBE.

a b c (Å): 4.403 4.417 13.172
angles (deg): 90.00 99.50 90.00
Positions (direct):
Te 0.376 0.000 0.595
Te 0.788 0.500 0.418
U 0.911 0.500 0.665
Nd 0.248 0.000 0.339
Te 0.654 0.000 0.148
Te 0.153 0.500 0.148
Te 0.501 0.500 0.843
Te 0.001 0.000 0.843

Properties
Volume ... 31.58 A^3/atom
Energy ... -5.08 eV/atom


CsMgZn3As3: optimized geometry, PBE.

a b c (Å): 4.239 4.324 10.788
angles (deg): 90.00 90.00 90.00
Positions (direct):
Cs 0.000 0.000 0.501
As 0.000 0.000 0.997
Zn 0.500 0.000 0.846
Mg 0.500 0.000 0.152
Zn 0.000 0.500 0.156
Zn 0.000 0.500 0.845
As 0.500 0.500 0.284
As 0.500 0.500 0.720

Properties
Volume ... 24.72 A^3/atom
Energy ... -2.92 eV/atom


DyYNi2I2: optimized geometry, PBE.

a b c (Å): 4.060 4.060 11.939
angles (deg): 90.00 90.00 120.00
Each line ends with the local moment (μB).
Positions (direct):
Ni 0.667 0.333 0.994  -0.08
I 0.333 0.667 0.670  0.00
I 0.667 0.333 0.330  0.00
Ni 0.333 0.667 0.006  -0.08
Dy 0.000 0.000 0.150  -0.01
Y 0.000 0.000 0.849  -0.01

Properties
Volume ... 28.41 A^3/atom
Energy ... -5.11 eV/atom


Tm2CoGe: optimized geometry, PBE.

a b c (Å): 3.952 5.531 5.531
angles (deg): 42.21 90.00 90.00
Positions (direct):
Tm 0.000 0.144 0.144
Tm 0.500 0.861 0.861
Co 0.000 0.426 0.426
Ge 0.500 0.569 0.569

Properties
Volume ... 20.30 A^3/atom
Energy ... -5.73 eV/atom


Er2Sn2PtC3: optimized geometry, PBE.

a b c (Å): 3.644 3.644 12.292
angles (deg): 90.00 90.00 120.00
Positions (direct):
Er 0.667 0.333 0.669
C 0.000 0.000 0.726
Sn 0.333 0.667 0.455
Sn 0.333 0.667 0.024
C 0.667 0.333 0.135
Pt 0.000 0.000 0.884
C 0.667 0.333 0.368
Er 0.000 0.000 0.238

Properties
Volume ... 17.67 A^3/atom
Energy ... -6.04 eV/atom


LuMgPd2: optimized geometry, PBE.

a b c (Å): 4.781 4.781 7.718
angles (deg): 90.00 90.00 120.00
Positions (direct):
Pd 0.333 0.667 0.079
Pd 0.667 0.333 0.921
Mg 0.667 0.333 0.250
Lu 0.000 0.000 0.750
Pd 0.667 0.333 0.579
Pd 0.333 0.667 0.421
Lu 0.000 0.000 0.250
Mg 0.333 0.667 0.750

Properties
Volume ... 19.10 A^3/atom
Energy ... -4.47 eV/atom


Gd4SnC2I: optimized geometry, PBE.

a b c (Å): 3.744 3.744 15.423
angles (deg): 90.00 90.00 120.00
Positions (direct):
Gd 0.000 0.000 0.838
C 0.667 0.333 0.241
Sn 0.000 0.000 0.500
C 0.667 0.333 0.759
Gd 0.333 0.667 0.665
Gd 0.000 0.000 0.162
Gd 0.333 0.667 0.335
I 0.333 0.667 0.000

Properties
Volume ... 23.40 A^3/atom
Energy ... -5.96 eV/atom


BaSrZn2Se2O2: optimized geometry, PBE.

a b c (Å): 4.095 4.095 12.085
angles (deg): 90.00 90.00 120.00
Positions (direct):
Ba 0.000 0.000 0.224
Zn 0.333 0.667 0.511
Sr 0.667 0.333 0.722
Se 0.000 0.000 0.918
O 0.333 0.667 0.669
O 0.333 0.667 0.152
Se 0.667 0.333 0.435
Zn 0.333 0.667 0.993

Properties
Volume ... 21.94 A^3/atom
Energy ... -4.64 eV/atom


LiAgTeOsSe2: optimized geometry, PBE.

a b c (Å): 6.870 6.870 10.223
angles (deg): 90.00 90.00 148.27
Positions (direct):
Li 0.765 0.235 0.250
Ag 0.575 0.425 0.750
Os 0.000 0.000 0.500
Se 0.370 0.630 0.016
Ag 0.425 0.575 0.250
Se 0.630 0.370 0.984
Te 0.910 0.090 0.750
Os 0.000 0.000 0.000
Te 0.090 0.910 0.250
Li 0.235 0.765 0.750
Se 0.630 0.370 0.516
Se 0.370 0.630 0.484

Properties
Volume ... 21.14 A^3/atom
Energy ... -4.41 eV/atom


CoMoPdPb: optimized geometry, PBE.

a b c (Å): 4.521 4.521 4.521
angles (deg): 60.00 60.00 60.00
Positions (direct):
Mo 0.250 0.250 0.250
Pd 0.500 0.500 0.500
Co 0.750 0.750 0.750
Pb 0.000 0.000 0.000

Properties
Volume ... 16.34 A^3/atom
Relative energy among the computed polymorphs ... 0.025 eV per atom


NdSmCu2Sn: optimized geometry, PBE.

a b c (Å): 3.698 7.327 7.327
angles (deg): 34.46 90.00 90.00
Positions (direct):
Cu 0.000 0.797 0.797
Cu 0.000 0.201 0.201
Sm 0.500 0.630 0.630
Nd 0.500 0.371 0.371
Sn 0.000 0.001 0.001

Properties
Volume ... 22.47 A^3/atom
Energy ... -4.62 eV/atom


ZrPd: optimized geometry, PBE.

a b c (Å): 5.079 9.478 4.654
angles (deg): 90.00 90.00 90.00
Positions (direct):
Zr 0.410 0.827 0.000
Zr 0.910 0.007 0.000
Pd 0.358 0.344 0.500
Pd 0.350 0.655 0.500
Pd 0.491 0.187 0.000
Pd 0.850 0.179 0.500
Zr 0.519 0.506 0.000
Pd 0.858 0.490 0.500
Pd 0.991 0.647 0.000
Zr 0.872 0.797 0.500
Zr 0.372 0.036 0.500
Zr 0.019 0.327 0.000

Properties
Calculated formation energy ... -544 meV per atom
Volume ... 18.67 A^3/atom


FeSb2Pd: optimized geometry, PBE.

a b c (Å): 4.849 4.849 4.849
angles (deg): 60.00 60.00 60.00
Positions (direct):
Sb 0.000 0.000 0.000
Pd 0.500 0.500 0.500
Fe 0.250 0.250 0.250
Sb 0.750 0.750 0.750

Properties
Volume ... 20.16 A^3/atom
Energy ... -5.05 eV/atom


CsTm: optimized geometry, PBE.

a b c (Å): 3.774 3.783 7.406
angles (deg): 90.00 90.00 119.92
Each line ends with the local moment (μB).
Positions (direct):
Tm 0.334 0.668 0.250  0.47
Cs 0.666 0.332 0.750  0.04

Properties
Volume ... 45.82 A^3/atom
Relative energy among the computed polymorphs ... 0.000 eV per atom


NbCuTcBi: optimized geometry, PBE.

a b c (Å): 4.615 4.615 4.615
angles (deg): 60.00 60.00 60.00
Positions (direct):
Tc 0.250 0.250 0.250
Nb 0.500 0.500 0.500
Cu 0.750 0.750 0.750
Bi 0.000 0.000 0.000

Properties
Volume ... 17.37 A^3/atom
Relative energy among the computed polymorphs ... 0.000 eV per atom


TaCoAgPb: optimized geometry, PBE.

a b c (Å): 4.633 4.633 4.633
angles (deg): 60.00 60.00 60.00
Positions (direct):
Ta 0.500 0.500 0.500
Co 0.750 0.750 0.750
Pb 0.000 0.000 0.000
Ag 0.250 0.250 0.250

Properties
Volume ... 17.58 A^3/atom
Relative energy among the computed polymorphs ... 0.000 eV per atom


Lu2FeMo: optimized geometry, PBE.

a b c (Å): 4.762 4.762 4.762
angles (deg): 60.00 60.00 60.00
Positions (direct):
Fe 0.250 0.250 0.250
Lu 0.750 0.750 0.750
Mo 0.500 0.500 0.500
Lu 0.000 0.000 0.000

Properties
Calculated formation energy ... 468 meV per atom
Volume ... 19.09 A^3/atom


KZrCuS3: optimized geometry, PBE.

a b c (Å): 14.416 3.778 9.982
angles (deg): 90.00 90.00 90.00
Positions (direct):
Zr 0.013 0.250 0.173
S 0.587 0.750 0.880
S 0.591 0.250 0.569
Zr 0.987 0.750 0.827
Cu 0.990 0.250 0.595
K 0.767 0.750 0.536
S 0.913 0.250 0.380
S 0.374 0.250 0.744
S 0.409 0.750 0.431
K 0.233 0.250 0.464
Zr 0.487 0.750 0.673
S 0.626 0.750 0.256
K 0.267 0.750 0.964
S 0.413 0.250 0.120
Zr 0.513 0.250 0.327
K 0.733 0.250 0.036
S 0.091 0.250 0.931
S 0.087 0.750 0.620
Cu 0.490 0.250 0.905
Cu 0.510 0.750 0.095
S 0.909 0.750 0.069
Cu 0.010 0.750 0.405
S 0.874 0.250 0.756
S 0.126 0.750 0.244

Properties
Volume ... 22.65 A^3/atom
Energy ... -5.55 eV/atom


Sr2Zn2TeSO2: optimized geometry, PBE.

a b c (Å): 4.063 4.063 12.019
angles (deg): 90.00 90.00 120.00
Positions (direct):
Te 0.333 0.667 0.922
Zn 0.667 0.333 0.490
Zn 0.667 0.333 0.021
O 0.667 0.333 0.649
Sr 0.000 0.000 0.703
O 0.667 0.333 0.180
Sr 0.333 0.667 0.235
S 0.000 0.000 0.425

Properties
Volume ... 21.48 A^3/atom
Energy ... -4.60 eV/atom


LiUTlS3: optimized geometry, PBE.

a b c (Å): 7.157 7.157 10.548
angles (deg): 90.00 90.00 147.22
Each line ends with the local moment (μB).
Positions (direct):
Tl 0.766 0.234 0.750  0.00
S 0.450 0.550 0.750  -0.04
U 0.500 0.500 0.500  2.03
U 0.500 0.500 0.000  2.03
S 0.875 0.125 0.048  -0.06
S 0.875 0.125 0.452  -0.06
S 0.125 0.875 0.952  -0.06
Tl 0.234 0.766 0.250  0.00
Li 0.953 0.047 0.250  0.00
Li 0.047 0.953 0.750  0.00
S 0.125 0.875 0.548  -0.06
S 0.550 0.450 0.250  -0.04

Properties
Volume ... 24.38 A^3/atom
Energy ... -5.80 eV/atom


La2DyCu4Sn4: optimized geometry, PBE.

a b c (Å): 8.628 8.628 8.628
angles (deg): 148.80 132.82 57.65
Positions (direct):
Sn 0.786 0.786 0.000
Cu 0.984 0.669 0.315
Sn 0.214 0.214 0.000
La 0.633 0.133 0.500
Sn 0.292 0.500 0.792
Cu 0.016 0.331 0.685
Sn 0.708 0.500 0.208
La 0.367 0.867 0.500
Cu 0.646 0.331 0.315
Cu 0.354 0.669 0.685
Dy 0.000 0.000 0.000

Properties
Volume ... 22.02 A^3/atom
Energy ... -4.67 eV/atom